(1)
Below is a relaxed structure of TbYGaPd, with properties calculated at the PBE-GGA level.

Structure (POSCAR):
```
TbYGaPd
1.0
4.519 0.000 0.000
0.000 3.757 0.000
0.000 0.000 11.007
Tb Y Ga Pd
2 2 2 2
Direct
0.000 0.000 0.000 Tb
0.000 0.500 0.500 Tb
0.500 0.000 0.716 Y
0.500 0.500 0.216 Y
0.500 0.000 0.437 Ga
0.500 0.500 0.937 Ga
0.000 0.000 0.285 Pd
0.000 0.500 0.785 Pd
```

Computed properties:
offset from the most stable computed form	0.0	meV/atom
formation energy	-17.2	kcal/mol of atoms

=====

(2)
Below is a relaxed structure of Be2Ga2Hg, with properties calculated at the PBE-GGA level.

Structure (POSCAR):
```
Be2Ga2Hg
1.0
6.879 0.000 0.000
0.000 6.879 0.000
0.000 0.000 3.292
Be Ga Hg
4 4 2
Direct
0.113 0.387 0.000 Be
0.387 0.887 0.000 Be
0.613 0.113 0.000 Be
0.887 0.613 0.000 Be
0.175 0.675 0.500 Ga
0.325 0.175 0.500 Ga
0.675 0.825 0.500 Ga
0.825 0.325 0.500 Ga
0.000 0.000 0.000 Hg
0.500 0.500 0.000 Hg
```

Computed properties:
offset from the most stable computed form	0.0	meV/atom
formation energy	8.1	kcal/mol of atoms

=====

(3)
Below is a relaxed structure of FeSnN2, with properties calculated at the PBE-GGA level.

Structure (POSCAR):
```
FeSnN2
1.0
5.718 0.000 0.000
0.000 7.453 0.000
0.000 0.000 5.048
Fe Sn N
4 4 8
Direct
0.013 0.123 0.000 Fe
0.487 0.623 0.500 Fe
0.513 0.377 0.000 Fe
0.987 0.877 0.500 Fe
0.088 0.624 0.020 Sn
0.412 0.124 0.520 Sn
0.588 0.876 0.020 Sn
0.912 0.376 0.520 Sn
0.028 0.104 0.359 N
0.231 0.746 0.399 N
0.269 0.246 0.899 N
0.472 0.604 0.859 N
0.528 0.396 0.359 N
0.731 0.754 0.399 N
0.769 0.254 0.899 N
0.972 0.896 0.859 N
```

Computed properties:
uncorrected formation energy	114	kJ/mol of formula units

=====

Taking the records one at a time from the top gives size of the total moment values of 0.0; 0.0; 0.0 μB/f.u..